Computed, not measured: LuMgCoB after structural relaxation at the PBE-GGA level of DFT.

abc: 6.083 6.083 6.083
angles: 90.00 90.00 90.00
Space group F-43m (No. 216)
Asymmetric unit:
Lu1 0.000 0.000 0.000 [4 per cell]
Mg1 0.250 0.250 0.250 [4 per cell]
Co1 0.250 0.250 0.750 [4 per cell]
B1 0.000 0.000 0.500 [4 per cell]

## Properties
DFT total energy = -71.43 eV per cell
M_tot = 3.11 μB per cell
Polymorph energy (0 for the lowest one) = 138 meV per atom